Density functional theory data (GGA-PBE) for a relaxed ScZnHg2 crystal.

Computed properties:
Its energy of formation is -0.553 eV per formula unit. Its density of states at the Fermi level is 5.55 states/eV per cell.

a b c (Å): 9.6004 3.4845 5.2286
angles (deg): 90.00 104.88 90.00
Closest atoms and distances in Å follow each position.
Space group Cm (No. 8)
Asymmetric unit:
Sc  0.0000  0.0000  0.0000 (multiplicity 2)  7 Hg 2.94-3.23, 3 Zn 2.97-3.09
Zn  0.2544  0.0000  0.7395 (multiplicity 2)  7 Hg 2.90-3.18, 3 Sc 2.97-3.09
Hg  0.0105  0.5000  0.5254 (multiplicity 2)  3 Zn 2.90-2.95, 4 Sc 3.05-3.23, 3 Hg 3.08-3.11
Hg  0.2502  0.5000  0.2295 (multiplicity 2)  3 Sc 2.94-2.96, 3 Hg 3.08-3.11, 4 Zn 3.11-3.18



Density functional theory data (GGA-PBE) for a relaxed ScZnHg2 crystal.

Computed properties:
Its energy of formation is -0.640 eV per formula unit. Its density of states at the Fermi level is 2.55 states/eV per cell.

a b c (Å): 3.1727 4.7242 5.6675
angles (deg): 90.00 90.13 90.00
Closest atoms and distances in Å follow each position.
Space group Pm (No. 6)
Asymmetric unit:
Sc  0.0000  0.0000  0.0000 (multiplicity 1)  8 Hg 3.11-3.38, 4 Zn 3.16-3.17, 2 Sc 3.17
Zn  0.5040  0.5000  0.2453 (multiplicity 1)  3 Hg 2.66-2.70
Hg  0.4968  0.5000  0.7754 (multiplicity 1)  1 Zn 2.66, 2 Hg 2.91
Hg  0.5016  0.0000  0.4753 (multiplicity 1)  2 Zn 2.70, 2 Hg 2.91



Density functional theory data (GGA-PBE) for a relaxed Sc2ZnHg8 crystal.

Computed properties:
Its energy of formation is -1.559 eV per formula unit. Its density of states at the Fermi level is 8.62 states/eV per cell.

a b c (Å): 4.5593 4.5593 11.8957
angles (deg): 90.00 90.00 90.00
Closest atoms and distances in Å follow each position.
Space group P4/mmm (No. 123)
Asymmetric unit:
Sc  0.0000  0.0000  0.1897 (multiplicity 2)  12 Hg 3.09-3.23
Zn  0.0000  0.0000  0.5000 (multiplicity 1)  8 Hg 2.79
Hg  0.0000  0.5000  0.0000 (multiplicity 2)  8 Hg 3.14-3.22, 4 Sc 3.21
Hg  0.0000  0.5000  0.3644 (multiplicity 4)  2 Zn 2.79, 2 Sc 3.09
Hg  0.5000  0.5000  0.1819 (multiplicity 2)  8 Hg 3.14-3.15, 4 Sc 3.23



Density functional theory data (GGA-PBE) for a relaxed Sc2ZnHg crystal.

Computed properties:
Its energy of formation is -1.543 eV per formula unit. Its density of states at the Fermi level is 3.68 states/eV per cell. As for the energy above the most stable polymorph in this dataset: 0.017 eV per atom.

a b c (Å): 4.8161 4.8161 3.5238
angles (deg): 90.00 90.00 90.00
Closest atoms and distances in Å follow each position.
Space group P4/mmm (No. 123)
Asymmetric unit:
Sc  0.0000  0.5000  0.0000 (multiplicity 2)  4 Hg 2.98, 4 Zn 2.98
Zn  0.0000  0.0000  0.5000 (multiplicity 1)  8 Sc 2.98
Hg  0.5000  0.5000  0.5000 (multiplicity 1)  8 Sc 2.98



For each record above, in turn, the calculated total magnetization values are 0.0, 0.0, 0.0, 0.0 μB per formula unit.